# LiLa2PdC

A relaxed LiLa2PdC crystal (PBE, the Alexandria database).

Cell lengths 5.3314, 5.3314, 4.0670 Å; angles 90.00, 90.00, 90.00 degrees
Positions (direct):
Li  0.0000  0.0000  0.0000
La  0.0000  0.5000  0.5000
La  0.5000  0.0000  0.5000
Pd  0.5000  0.5000  0.0000
C  0.5000  0.5000  0.5000

Properties
The formation energy is -12.1 kJ per mole of atoms. The calculated density comes out at 5.79 g/cm3. The value obtained for the distance to the lowest polymorph of the same formula is 0.0780 eV per atom. The raw total energy is -5.363 eV/atom.